A relaxed TiTcRh2 crystal. Source: Alexandria, functional PBE-GGA.

Lattice parameters (Å, degrees): 4.4072 4.4072 4.4072 60.00 60.00 60.00
Last column: magnetic moment on the atom in μB.
Fractional positions:
Rh 0.7500 0.7500 0.7500  0.56
Rh 0.2500 0.2500 0.2500  0.56
Tc 0.5000 0.5000 0.5000  1.60
Ti 0.0000 0.0000 0.0000  0.11

Computed properties:
E_form in meV/atom: -115
E above lowest polymorph in meV per atom: 305.1
Symmetry: Fm-3m (225)
Total energy in eV per atom: -8.355
V in Å³/cell: 60.5

---

A relaxed Ti3TcRh2 crystal. Source: Alexandria, functional PBE-GGA.

Lattice parameters (Å, degrees): 3.1238 3.1238 9.2007 90.00 90.00 90.00
Fractional positions:
Ti 0.0000 0.0000 0.0000
Ti 0.0000 0.0000 0.6606
Rh 0.5000 0.5000 0.1629
Ti 0.0000 0.0000 0.3394
Rh 0.5000 0.5000 0.8371
Tc 0.5000 0.5000 0.5000

Computed properties:
E_form in meV/atom: -747
Symmetry: P4/mmm (123)
Total energy in eV per atom: -8.873
V in Å³/cell: 89.8

---

Number 1: N(E_F) 6.53 states/eV per cell. Number 2: N(E_F) 3.46 states/eV per cell.